Record 1
Density functional theory data (PBEsol) for a geometry-optimized AsRhO4 structure.

Lattice parameters (Å, degrees): 6.344 6.344 5.984 90.00 90.00 90.00
Space group I4_1md (No. 109)
Symmetry-distinct sites (fractional):
As  0.000  0.000  0.000 x4
Rh  0.000  0.000  0.510 x4
O  0.000  0.190  0.768 x8
O  0.000  0.192  0.241 x8

Summary:
**Magnetic moment**: 0.001 Bohr magnetons per cell
**Raw formation energy**: -1.0108 eV/atom


Record 2
Density functional theory data (PBEsol) for a geometry-optimized AsRhO3 structure.

Lattice parameters (Å, degrees): 3.838 3.838 3.838 90.00 90.00 90.00
Space group Pm-3m (No. 221)
Symmetry-distinct sites (fractional):
As  0.000  0.000  0.000 x1
Rh  0.500  0.500  0.500 x1
O  0.000  0.500  0.500 x3

Summary:
**Magnetic moment**: 0.001 Bohr magnetons per cell
**Raw formation energy**: -0.1525 eV/atom


Record 3
Density functional theory data (PBEsol) for a geometry-optimized AsRuO3 structure.

Lattice parameters (Å, degrees): 3.808 3.808 3.808 90.00 90.00 90.00
Space group Pm-3m (No. 221)
Symmetry-distinct sites (fractional):
As  0.000  0.000  0.000 x1
Ru  0.500  0.500  0.500 x1
O  0.000  0.000  0.500 x3

Summary:
**Magnetic moment**: 3.808 Bohr magnetons per cell
**Raw formation energy**: 0.0398 eV/atom


Record 4
Density functional theory data (PBEsol) for a geometry-optimized ScAs2RuO structure.

Lattice parameters (Å, degrees): 4.492 4.492 5.133 90.00 90.00 90.00
Space group P4/mmm (No. 123)
Symmetry-distinct sites (fractional):
Sc  0.000  0.000  0.000 x1
As  0.000  0.500  0.500 x2
Ru  0.000  0.000  0.500 x1
O  0.500  0.500  0.000 x1

Summary:
**Magnetic moment**: 0.109 Bohr magnetons per cell
**Raw formation energy**: 0.2158 eV/atom


Record 5
Density functional theory data (PBEsol) for a geometry-optimized SbAsO2 structure.

Lattice parameters (Å, degrees): 5.937 5.937 5.937 90.00 90.00 90.00
Space group Fm-3m (No. 225)
Symmetry-distinct sites (fractional):
Sb  0.000  0.000  0.000 x4
As  0.000  0.000  0.500 x4
O  0.250  0.250  0.250 x8

Summary:
**Magnetic moment**: 0.002 Bohr magnetons per cell
**Energy above the lowest structure with this stoichiometry**: 238 meV/atom
**Raw formation energy**: -0.0241 eV/atom


Record 6
Density functional theory data (PBEsol) for a geometry-optimized SbAsO2 structure.

Lattice parameters (Å, degrees): 5.373 5.373 9.607 90.00 90.00 90.00
Space group I-42d (No. 122)
Symmetry-distinct sites (fractional):
Sb  0.000  0.000  0.000 x4
As  0.000  0.000  0.500 x4
O  0.141  0.750  0.625 x8

Summary:
**Magnetic moment**: 0.000 Bohr magnetons per cell
**Energy above the lowest structure with this stoichiometry**: 0 meV/atom
**Raw formation energy**: -0.2617 eV/atom


Record 7
Density functional theory data (PBEsol) for a geometry-optimized SbAsO3 structure.

Lattice parameters (Å, degrees): 3.958 3.958 3.958 90.00 90.00 90.00
Space group Pm-3m (No. 221)
Symmetry-distinct sites (fractional):
Sb  0.000  0.000  0.000 x1
As  0.500  0.500  0.500 x1
O  0.000  0.500  0.500 x3

Summary:
**Magnetic moment**: 0.000 Bohr magnetons per cell
**Raw formation energy**: -0.6254 eV/atom


Record 8
Density functional theory data (PBEsol) for a geometry-optimized SbAsO3 structure.

Lattice parameters (Å, degrees): 4.443 12.873 6.676 90.00 125.82 90.00
Space group P2_1/c (No. 14)
Symmetry-distinct sites (fractional):
Sb  0.179  0.144  0.167 x4
As  0.272  0.090  0.732 x4
O  0.044  0.589  0.680 x4
O  0.123  0.208  0.552 x4
O  0.368  0.638  0.461 x4

Summary:
**Magnetic moment**: 0.000 Bohr magnetons per cell
**Raw formation energy**: -1.2664 eV/atom


Record 9
Density functional theory data (PBEsol) for a geometry-optimized SbAs2O structure.

Lattice parameters (Å, degrees): 6.453 6.453 6.453 90.00 90.00 90.00
Space group Fm-3m (No. 225)
Symmetry-distinct sites (fractional):
Sb  0.000  0.000  0.000 x4
As  0.250  0.250  0.250 x8
O  0.000  0.000  0.500 x4

Summary:
**Magnetic moment**: 0.000 Bohr magnetons per cell
**Raw formation energy**: 0.3623 eV/atom


Record 10
Density functional theory data (PBEsol) for a geometry-optimized ScAsO2 structure.

Lattice parameters (Å, degrees): 5.231 5.231 9.110 90.00 90.00 90.00
Space group I-42d (No. 122)
Symmetry-distinct sites (fractional):
Sc  0.000  0.000  0.000 x4
As  0.000  0.000  0.500 x4
O  0.179  0.750  0.125 x8

Summary:
**Magnetic moment**: 0.000 Bohr magnetons per cell
**Raw formation energy**: -1.6295 eV/atom


Record 11
Density functional theory data (PBEsol) for a geometry-optimized SiAsSe2O structure.

Lattice parameters (Å, degrees): 4.680 4.680 4.726 90.00 90.00 90.00
Space group P4/mmm (No. 123)
Symmetry-distinct sites (fractional):
Si  0.000  0.000  0.000 x1
As  0.000  0.000  0.500 x1
Se  0.000  0.500  0.000 x2
O  0.500  0.500  0.500 x1

Summary:
**Magnetic moment**: 1.485 Bohr magnetons per cell
**Raw formation energy**: 0.9319 eV/atom


Record 12
Density functional theory data (PBEsol) for a geometry-optimized TcAs2SeO structure.

Lattice parameters (Å, degrees): 4.160 4.160 4.388 90.00 90.00 90.00
Space group P4/mmm (No. 123)
Symmetry-distinct sites (fractional):
Tc  0.000  0.000  0.000 x1
As  0.000  0.500  0.500 x2
Se  0.500  0.500  0.000 x1
O  0.500  0.500  0.500 x1

Summary:
**Magnetic moment**: 0.011 Bohr magnetons per cell
**Raw formation energy**: 0.4995 eV/atom


Record 13
Density functional theory data (PBEsol) for a geometry-optimized YAs2SeO structure.

Lattice parameters (Å, degrees): 5.388 5.388 5.281 90.00 90.00 90.00
Space group P4/mmm (No. 123)
Symmetry-distinct sites (fractional):
Y  0.000  0.000  0.000 x1
As  0.000  0.500  0.000 x2
Se  0.000  0.000  0.500 x1
O  0.500  0.500  0.500 x1

Summary:
**Magnetic moment**: 1.660 Bohr magnetons per cell
**Raw formation energy**: 0.8358 eV/atom


Record 14
Density functional theory data (PBEsol) for a geometry-optimized Si2As2O7 structure.

Lattice parameters (Å, degrees): 7.094 7.107 13.221 89.96 80.91 88.23
Space group P-1 (No. 2)
Symmetry-distinct sites (fractional):
Si  0.021  0.314  0.133 x2
Si  0.233  0.153  0.387 x2
Si  0.352  0.268  0.595 x2
Si  0.400  0.166  0.805 x2
As  0.016  0.766  0.100 x2
As  0.201  0.702  0.635 x2
As  0.250  0.692  0.339 x2
As  0.443  0.258  0.168 x2
O  0.040  0.284  0.393 x2
O  0.062  0.778  0.964 x2
O  0.098  0.527  0.112 x2
O  0.157  0.699  0.773 x2
O  0.191  0.939  0.355 x2
O  0.204  0.186  0.157 x2
O  0.206  0.449  0.619 x2
O  0.237  0.281  0.884 x2
O  0.302  0.150  0.499 x2
O  0.323  0.128  0.695 x2
O  0.406  0.250  0.308 x2
O  0.414  0.700  0.220 x2
O  0.424  0.670  0.426 x2
O  0.451  0.971  0.859 x2

Summary:
**Magnetic moment**: 0.000 Bohr magnetons per cell
**Raw formation energy**: -2.0177 eV/atom


Record 15
Density functional theory data (PBEsol) for a geometry-optimized SiAsO2 structure.

Lattice parameters (Å, degrees): 2.6882 2.6882 28.5613 90.00 90.00 120.00
Space group R-3m (No. 166, hexagonal axes)
Symmetry-distinct sites (fractional):
Si  0.0000  0.0000  0.0000 x3
As  0.0000  0.0000  0.5000 x3
O  0.0000  0.0000  0.3652 x6

Summary:
**Magnetic moment**: 0.000 Bohr magnetons per cell
**Raw formation energy**: -1.7229 eV/atom


Record 16
Density functional theory data (PBEsol) for a geometry-optimized Si3AsO structure.

Lattice parameters (Å, degrees): 4.231 4.231 4.231 90.00 90.00 90.00
Space group Pm-3m (No. 221)
Symmetry-distinct sites (fractional):
Si  0.000  0.000  0.500 x3
As  0.500  0.500  0.500 x1
O  0.000  0.000  0.000 x1

Summary:
**Magnetic moment**: 0.000 Bohr magnetons per cell
**Raw formation energy**: 0.2198 eV/atom


Record 17
Density functional theory data (PBEsol) for a geometry-optimized Sm2As4O9 structure.

Lattice parameters (Å, degrees): 6.782 7.547 9.462 96.44 103.41 104.70
Space group P-1 (No. 2)
Symmetry-distinct sites (fractional):
Sm  0.225  0.032  0.409 x2
Sm  0.254  0.557  0.379 x2
As  0.178  0.266  0.059 x2
As  0.247  0.421  0.718 x2
As  0.310  0.856  0.711 x2
As  0.329  0.742  0.076 x2
O  0.010  0.726  0.322 x2
O  0.110  0.826  0.988 x2
O  0.126  0.964  0.629 x2
O  0.130  0.604  0.647 x2
O  0.187  0.515  0.113 x2
O  0.235  0.249  0.246 x2
O  0.343  0.370  0.560 x2
O  0.380  0.842  0.261 x2
O  0.407  0.832  0.550 x2

Summary:
**Magnetic moment**: 0.000 Bohr magnetons per cell
**Raw formation energy**: -2.0527 eV/atom


Record 18
Density functional theory data (PBEsol) for a geometry-optimized Sr2AsO structure.

Lattice parameters (Å, degrees): 7.116 7.116 7.116 90.00 90.00 90.00
Space group Fm-3m (No. 225)
Symmetry-distinct sites (fractional):
Sr  0.250  0.250  0.250 x8
As  0.000  0.000  0.000 x4
O  0.000  0.000  0.500 x4

Summary:
**Magnetic moment**: 4.134 Bohr magnetons per cell
**Raw formation energy**: -1.1405 eV/atom


Record 19
Density functional theory data (PBEsol) for a geometry-optimized Sr3TaAs3O structure.

Lattice parameters (Å, degrees): 6.356 10.647 12.867 90.00 90.00 90.00
Space group Pnma (No. 62)
Symmetry-distinct sites (fractional):
Sr  0.229  0.250  0.128 x4
Sr  0.246  0.543  0.372 x8
Ta  0.159  0.250  0.549 x4
As  0.234  0.250  0.363 x4
As  0.237  0.547  0.123 x8
O  0.137  0.750  0.445 x4

Summary:
**Magnetic moment**: 0.000 Bohr magnetons per cell
**Raw formation energy**: -1.4452 eV/atom


Record 20
Density functional theory data (PBEsol) for a geometry-optimized TaAsO4 structure.

Lattice parameters (Å, degrees): 5.060 5.493 5.568 90.00 99.99 90.00
Space group Pc (No. 7)
Symmetry-distinct sites (fractional):
Ta  0.000  0.164  0.000 x2
As  0.456  0.313  0.578 x2
O  0.239  0.107  0.722 x2
O  0.246  0.422  0.113 x2
O  0.711  0.369  0.850 x2
O  0.841  0.103  0.282 x2

Summary:
**Magnetic moment**: 0.000 Bohr magnetons per cell
**Raw formation energy**: -2.1089 eV/atom


Record 21
Density functional theory data (PBEsol) for a geometry-optimized TaAs2O2 structure.

Lattice parameters (Å, degrees): 5.318 5.318 5.741 90.00 90.00 90.00
Space group P4/mbm (No. 127)
Symmetry-distinct sites (fractional):
Ta  0.000  0.000  0.000 x2
As  0.247  0.253  0.500 x4
O  0.191  0.691  0.000 x4

Summary:
**Magnetic moment**: 0.000 Bohr magnetons per cell
**Raw formation energy**: -1.0116 eV/atom